Here is a geometry-optimized CaMgGa structure from the Alexandria database. Energies are from PBE.

Cell and atoms, written as POSCAR:
```
CaMgGa
1.0
4.173 0.000 0.000
0.000 4.540 0.000
0.000 0.000 7.921
Ca Mg Ga
2 2 2
Direct
0.250 0.250 0.151
0.750 0.750 0.849
0.250 0.750 0.507
0.750 0.250 0.493
0.250 0.250 0.741
0.750 0.750 0.259
```

## Properties
- Energy: -15.38 eV for the cell shown
- Formation energy: -0.36 eV per atom

---

Here is a geometry-optimized RbPmAlS4 structure from the Alexandria database. Energies are from PBE.

Cell and atoms, written as POSCAR:
```
RbPmAlS4
1.0
7.018 0.000 0.000
0.000 5.727 0.000
-2.525 0.000 9.265
Rb Pm Al S
2 2 2 8
Direct
0.238 0.250 0.459
0.762 0.750 0.541
0.248 0.250 0.942
0.752 0.750 0.058
0.248 0.750 0.171
0.752 0.250 0.829
0.056 0.750 0.318
0.091 0.750 0.936
0.499 0.514 0.795
0.499 0.986 0.795
0.501 0.014 0.205
0.501 0.486 0.205
0.909 0.250 0.064
0.944 0.250 0.682
```

## Properties
- Raw formation energy: -1.40 eV/atom
- Energy: -71.51 eV for the cell shown

---

Here is a geometry-optimized KBTe structure from the Alexandria database. Energies are from PBE.

Cell and atoms, written as POSCAR:
```
KBTe
1.0
-2.305 2.732 7.231
2.305 -2.732 7.231
2.305 2.732 -7.231
K B Te
2 2 2
Direct
0.127 0.127 0.000
0.873 0.873 0.000
0.500 0.170 0.670
0.500 0.830 0.330
0.382 0.382 0.000
0.618 0.618 0.000
```

## Properties
- Raw formation energy: -0.17 eV/atom
- Energy: -22.84 eV for the cell shown

---

- What is the formula in the first record?
  CaMgGa

---

- What is the formula in the first record?
  CaMgGa

---

- Which value of energy does entry 2 give?
  -71.51 eV for the cell shown

---

- energy of number 2 (RbPmAlS4)?
  -71.51 eV for the cell shown